[1]
A plane-wave DFT calculation with PBE was carried out for crystalline MgTlRe2 at its relaxed geometry. Values from VASP.

Cell and atoms, written as Quantum ESPRESSO input:
```
&SYSTEM
  ibrav = 0, nat = 4, ntyp = 3
/
ATOMIC_SPECIES
Mg 24.30 Mg.upf
Tl 204.38 Tl.upf
Re 186.21 Re.upf
CELL_PARAMETERS angstrom
4.8315 -1.5592 0.0000
4.8315 1.5592 0.0000
-0.6980 0.0000 4.8029
ATOMIC_POSITIONS crystal
Mg 0.0000 0.0000 0.0000
Tl 0.5000 0.5000 0.5000
Re 0.2523 0.2523 0.8006
Re 0.7477 0.7477 0.1994
```

- energy (eV per atom) = -6.57
- formation energy (meV/atom) = 645
- magnetic moment (μB per formula unit) = 0.000
- volume (Å³/cell) = 72.36
- DOS(E_F) (states/eV/atom) = 0.399
- polymorph energy (0 for the lowest one) (eV per formula unit) = 1.424

---

[2]
A plane-wave DFT calculation with PBE was carried out for crystalline SrCa2TlAu at its relaxed geometry. Values from VASP.

Cell and atoms, written as Quantum ESPRESSO input:
```
&SYSTEM
  ibrav = 0, nat = 5, ntyp = 4
/
ATOMIC_SPECIES
Sr 87.62 Sr.upf
Ca 40.08 Ca.upf
Tl 204.38 Tl.upf
Au 196.97 Au.upf
CELL_PARAMETERS angstrom
5.6851 0.0000 0.0000
0.0000 5.6851 0.0000
0.0000 0.0000 6.0492
ATOMIC_POSITIONS crystal
Sr 0.0000 0.0000 0.0000
Ca 0.0000 0.5000 0.5000
Ca 0.5000 0.0000 0.5000
Tl 0.5000 0.5000 0.0000
Au 0.0000 0.0000 0.5000
```

- energy (eV per atom) = -2.59
- formation energy (meV/atom) = -325
- magnetic moment (μB per formula unit) = 0.000
- volume (Å³/cell) = 195.51
- DOS(E_F) (states/eV/atom) = 0.884

---

[3]
A plane-wave DFT calculation with PBE was carried out for crystalline Li2CdCuTc at its relaxed geometry. Values from VASP.

Cell and atoms, written as Quantum ESPRESSO input:
```
&SYSTEM
  ibrav = 0, nat = 5, ntyp = 4
/
ATOMIC_SPECIES
Li 6.94 Li.upf
Cd 112.41 Cd.upf
Cu 63.55 Cu.upf
Tc 98.00 Tc.upf
CELL_PARAMETERS angstrom
4.6312 0.0000 0.0000
0.0000 4.6312 0.0000
0.0000 0.0000 5.1232
ATOMIC_POSITIONS crystal
Li 0.0000 0.5000 0.0000
Li 0.5000 0.0000 0.0000
Cd 0.0000 0.0000 0.0000
Cu 0.5000 0.5000 0.5000
Tc 0.0000 0.0000 0.5000
```

- energy (eV per atom) = -2.72
- formation energy (meV/atom) = 1119
- magnetic moment (μB per formula unit) = 2.323
- volume (Å³/cell) = 109.88
- DOS(E_F) (states/eV/atom) = 0.663

---

[4]
A plane-wave DFT calculation with PBE was carried out for crystalline Ac3Cu2Bi2Pt4 at its relaxed geometry. Values from VASP.

Cell and atoms, written as Quantum ESPRESSO input:
```
&SYSTEM
  ibrav = 0, nat = 11, ntyp = 4
/
ATOMIC_SPECIES
Ac 227.00 Ac.upf
Cu 63.55 Cu.upf
Bi 208.98 Bi.upf
Pt 195.08 Pt.upf
CELL_PARAMETERS angstrom
4.5336 0.0000 0.0000
-2.2668 3.9262 0.0000
0.0000 0.0000 15.9339
ATOMIC_POSITIONS crystal
Ac 0.0000 0.0000 0.0000
Ac 0.0000 0.0000 0.2541
Ac 0.0000 0.0000 0.7459
Cu 0.3333 0.6667 0.1256
Cu 0.6667 0.3333 0.8744
Bi 0.3333 0.6667 0.5760
Bi 0.6667 0.3333 0.4240
Pt 0.3333 0.6667 0.3691
Pt 0.3333 0.6667 0.8757
Pt 0.6667 0.3333 0.1243
Pt 0.6667 0.3333 0.6309
```

- energy (eV per atom) = -5.45
- formation energy (meV/atom) = -685
- magnetic moment (μB per formula unit) = 0.000
- volume (Å³/cell) = 283.62
- DOS(E_F) (states/eV/atom) = 0.510

---

[5]
A plane-wave DFT calculation with PBE was carried out for crystalline TbSi2Tc3 at its relaxed geometry. Values from VASP.

Cell and atoms, written as Quantum ESPRESSO input:
```
&SYSTEM
  ibrav = 0, nat = 12, ntyp = 3
/
ATOMIC_SPECIES
Tb 158.93 Tb.upf
Si 28.09 Si.upf
Tc 98.00 Tc.upf
CELL_PARAMETERS angstrom
-2.0455 3.8727 6.2775
2.0455 -3.8727 6.2775
2.0455 3.8727 -6.2775
ATOMIC_POSITIONS crystal
Tb 0.1284 0.1284 0.0000
Tb 0.8716 0.8716 0.0000
Si 0.1925 0.5000 0.6925
Si 0.3104 0.8104 0.5000
Si 0.6896 0.1896 0.5000
Si 0.8075 0.5000 0.3075
Tc 0.1083 0.3129 0.7955
Tc 0.3497 0.0000 0.3497
Tc 0.4826 0.6871 0.7955
Tc 0.5174 0.3129 0.2045
Tc 0.6503 0.0000 0.6503
Tc 0.8917 0.6871 0.2045
```

- energy (eV per atom) = -8.05
- magnetic moment (μB per formula unit) = 0.000
- volume (Å³/cell) = 198.91
- DOS(E_F) (states/eV/atom) = 0.705
- energy relative to the elements, uncorrected (eV/atom) = -0.291
- polymorph energy (0 for the lowest one) (eV per formula unit) = 1.296

---

[6]
A plane-wave DFT calculation with PBE was carried out for crystalline KNa2TlIn at its relaxed geometry. Values from VASP.

Cell and atoms, written as Quantum ESPRESSO input:
```
&SYSTEM
  ibrav = 0, nat = 5, ntyp = 4
/
ATOMIC_SPECIES
K 39.10 K.upf
Na 22.99 Na.upf
Tl 204.38 Tl.upf
In 114.82 In.upf
CELL_PARAMETERS angstrom
6.0498 0.0000 0.0000
0.0000 6.0498 0.0000
0.0000 0.0000 5.8100
ATOMIC_POSITIONS crystal
K 0.0000 0.0000 0.0000
Na 0.0000 0.5000 0.5000
Na 0.5000 0.0000 0.5000
Tl 0.5000 0.5000 0.0000
In 0.5000 0.5000 0.5000
```

- energy (eV per atom) = -1.73
- formation energy (meV/atom) = 41
- magnetic moment (μB per formula unit) = 0.000
- volume (Å³/cell) = 212.65
- DOS(E_F) (states/eV/atom) = 0.769
- polymorph energy (0 for the lowest one) (eV per formula unit) = 0.000

---

[7]
A plane-wave DFT calculation with PBE was carried out for crystalline Ru3RhW2 at its relaxed geometry. Values from VASP.

Cell and atoms, written as Quantum ESPRESSO input:
```
&SYSTEM
  ibrav = 0, nat = 12, ntyp = 3
/
ATOMIC_SPECIES
Ru 101.07 Ru.upf
Rh 102.91 Rh.upf
W 183.84 W.upf
CELL_PARAMETERS angstrom
-3.6366 5.1789 2.8040
3.6366 -5.1789 2.8040
3.6366 5.1789 -2.8040
ATOMIC_POSITIONS crystal
Ru 0.0260 0.7500 0.2760
Ru 0.2500 0.2500 0.0000
Ru 0.4740 0.7500 0.7240
Ru 0.5260 0.2500 0.2760
Ru 0.7500 0.7500 0.0000
Ru 0.9740 0.2500 0.7240
Rh 0.0000 0.5000 0.5000
Rh 0.5000 0.0000 0.5000
W 0.1403 0.2081 0.3485
W 0.3597 0.7081 0.0678
W 0.6403 0.2919 0.9322
W 0.8597 0.7919 0.6515
```

- energy (eV per atom) = -9.63
- formation energy (meV/atom) = 553
- magnetic moment (μB per formula unit) = 0.000
- volume (Å³/cell) = 211.24
- DOS(E_F) (states/eV/atom) = 0.640

---

[8]
A plane-wave DFT calculation with PBE was carried out for crystalline ZnAgAs2 at its relaxed geometry. Values from VASP.

Cell and atoms, written as Quantum ESPRESSO input:
```
&SYSTEM
  ibrav = 0, nat = 4, ntyp = 3
/
ATOMIC_SPECIES
Zn 65.41 Zn.upf
Ag 107.87 Ag.upf
As 74.92 As.upf
CELL_PARAMETERS angstrom
1.4956 0.8635 9.4008
-1.4956 0.8635 9.4008
0.0000 -1.7270 9.4008
ATOMIC_POSITIONS crystal
Zn 0.0000 0.0000 0.0000
Ag 0.2561 0.2561 0.2561
As 0.5054 0.5054 0.5054
As 0.7449 0.7449 0.7449
```

- energy (eV per atom) = -3.11
- formation energy (meV/atom) = 250
- magnetic moment (μB per formula unit) = 0.000
- volume (Å³/cell) = 72.85
- DOS(E_F) (states/eV/atom) = 0.466

---

[9]
A plane-wave DFT calculation with PBE was carried out for crystalline Tb2H2Pb at its relaxed geometry. Values from VASP.

Cell and atoms, written as Quantum ESPRESSO input:
```
&SYSTEM
  ibrav = 0, nat = 5, ntyp = 3
/
ATOMIC_SPECIES
Tb 158.93 Tb.upf
H 1.01 H.upf
Pb 207.20 Pb.upf
CELL_PARAMETERS angstrom
-2.0149 2.0149 5.4600
2.0149 -2.0149 5.4600
2.0149 2.0149 -5.4600
ATOMIC_POSITIONS crystal
Tb 0.1551 0.1551 0.0000
Tb 0.8449 0.8449 0.0000
H 0.2500 0.7500 0.5000
H 0.7500 0.2500 0.5000
Pb 0.5000 0.5000 0.0000
```

- energy (eV per atom) = -4.58
- magnetic moment (μB per formula unit) = 0.000
- volume (Å³/cell) = 88.67
- DOS(E_F) (states/eV/atom) = 0.223

---

[10]
A plane-wave DFT calculation with PBE was carried out for crystalline Li6MgSn12 at its relaxed geometry. Values from VASP.

Cell and atoms, written as Quantum ESPRESSO input:
```
&SYSTEM
  ibrav = 0, nat = 19, ntyp = 3
/
ATOMIC_SPECIES
Li 6.94 Li.upf
Mg 24.30 Mg.upf
Sn 118.71 Sn.upf
CELL_PARAMETERS angstrom
6.1434 3.5469 3.7345
-6.1434 3.5469 3.7345
0.0000 -7.0938 3.7345
ATOMIC_POSITIONS crystal
Li 0.0021 0.6860 0.7870
Li 0.2130 0.9979 0.3140
Li 0.3140 0.2130 0.9979
Li 0.6860 0.7870 0.0021
Li 0.7870 0.0021 0.6860
Li 0.9979 0.3140 0.2130
Mg 0.5000 0.5000 0.5000
Sn 0.0250 0.3439 0.8721
Sn 0.1279 0.9750 0.6561
Sn 0.1627 0.6246 0.4733
Sn 0.3439 0.8721 0.0250
Sn 0.3754 0.5267 0.8373
Sn 0.4733 0.1627 0.6246
Sn 0.5267 0.8373 0.3754
Sn 0.6246 0.4733 0.1627
Sn 0.6561 0.1279 0.9750
Sn 0.8373 0.3754 0.5267
Sn 0.8721 0.0250 0.3439
Sn 0.9750 0.6561 0.1279
```

- energy (eV per atom) = -3.33
- formation energy (meV/atom) = -117
- magnetic moment (μB per formula unit) = 0.000
- volume (Å³/cell) = 488.25
- DOS(E_F) (states/eV/atom) = 0.416

---

[11]
A plane-wave DFT calculation with PBE was carried out for crystalline RbHf3Re at its relaxed geometry. Values from VASP.

Cell and atoms, written as Quantum ESPRESSO input:
```
&SYSTEM
  ibrav = 0, nat = 5, ntyp = 3
/
ATOMIC_SPECIES
Rb 85.47 Rb.upf
Hf 178.49 Hf.upf
Re 186.21 Re.upf
CELL_PARAMETERS angstrom
5.2117 0.0000 0.0000
0.0000 5.2117 0.0000
0.0000 0.0000 5.2117
ATOMIC_POSITIONS crystal
Rb 0.0000 0.0000 0.0000
Hf 0.0000 0.5000 0.5000
Hf 0.5000 0.0000 0.5000
Hf 0.5000 0.5000 0.0000
Re 0.5000 0.5000 0.5000
```

- energy (eV per atom) = -7.87
- formation energy (meV/atom) = 782
- magnetic moment (μB per formula unit) = 0.000
- volume (Å³/cell) = 141.56
- DOS(E_F) (states/eV/atom) = 1.975
- polymorph energy (0 for the lowest one) (eV per formula unit) = 0.000

---

[12]
A plane-wave DFT calculation with PBE was carried out for crystalline YIn4P at its relaxed geometry. Values from VASP.

Cell and atoms, written as Quantum ESPRESSO input:
```
&SYSTEM
  ibrav = 0, nat = 12, ntyp = 3
/
ATOMIC_SPECIES
Y 88.91 Y.upf
In 114.82 In.upf
P 30.97 P.upf
CELL_PARAMETERS angstrom
9.8463 0.0000 0.0000
0.0000 3.7952 0.0000
0.0000 0.0000 8.0696
ATOMIC_POSITIONS crystal
Y 0.2500 0.0000 0.1586
Y 0.7500 0.0000 0.8414
In 0.0000 0.0000 0.5000
In 0.0396 0.5000 0.8235
In 0.2500 0.5000 0.5053
In 0.4604 0.5000 0.8235
In 0.5000 0.0000 0.5000
In 0.5396 0.5000 0.1765
In 0.7500 0.5000 0.4947
In 0.9604 0.5000 0.1765
P 0.2500 0.0000 0.8181
P 0.7500 0.0000 0.1819
```

- energy (eV per atom) = -3.94
- formation energy (meV/atom) = -140
- magnetic moment (μB per formula unit) = 0.000
- volume (Å³/cell) = 301.55
- DOS(E_F) (states/eV/atom) = 0.473
- polymorph energy (0 for the lowest one) (eV per formula unit) = 0.180

---

[13]
A plane-wave DFT calculation with PBE was carried out for crystalline TlSn2Sb at its relaxed geometry. Values from VASP.

Cell and atoms, written as Quantum ESPRESSO input:
```
&SYSTEM
  ibrav = 0, nat = 4, ntyp = 3
/
ATOMIC_SPECIES
Tl 204.38 Tl.upf
Sn 118.71 Sn.upf
Sb 121.76 Sb.upf
CELL_PARAMETERS angstrom
0.0000 3.8425 3.8425
3.8425 0.0000 3.8425
3.8425 3.8425 0.0000
ATOMIC_POSITIONS crystal
Tl 0.0000 0.0000 0.0000
Sn 0.2500 0.2500 0.2500
Sn 0.7500 0.7500 0.7500
Sb 0.5000 0.5000 0.5000
```

- energy (eV per atom) = -3.53
- magnetic moment (μB per formula unit) = 0.000
- volume (Å³/cell) = 113.46
- DOS(E_F) (states/eV/atom) = 0.521
- energy relative to the elements, uncorrected (eV/atom) = 0.090
- polymorph energy (0 for the lowest one) (eV per formula unit) = 0.185